Record 1
Here is a geometry-optimized Ag2CO3 structure from Alexandria. Energies are from PBE-GGA.

Properties
Energy relative to the lowest polymorph listed for this composition ... 0.000 eV/atom
Space group ... P2_1/m (11)
Uncorrected formation energy ... -736 meV/atom

a = 9.7809 Å, b = 3.3514 Å, c = 5.0442 Å
α = 82.65°, β = 90.00°, γ = 90.00°
Fractional positions:
O: 0.8646 0.7156 0.4027
O: 0.6354 0.7156 0.4027
O: 0.1354 0.2844 0.5973
O: 0.3646 0.2844 0.5973
O: 0.2500 0.9923 0.9599
O: 0.7500 0.0077 0.0401
Ag: 0.4304 0.7609 0.2019
Ag: 0.9304 0.2391 0.7981
Ag: 0.0696 0.7609 0.2019
Ag: 0.5696 0.2391 0.7981
C: 0.7500 0.8114 0.2823
C: 0.2500 0.1886 0.7177


Record 2
Here is a geometry-optimized CdAsCl2 structure from Alexandria. Energies are from PBE-GGA.

Properties
Energy relative to the lowest polymorph listed for this composition ... 0.203 eV/atom
Space group ... R3m (160)
Uncorrected formation energy ... -199 meV/atom

a = 9.1654 Å, b = 9.1654 Å, c = 9.1654 Å
α = 23.05°, β = 23.05°, γ = 23.05°
Fractional positions:
As: 0.4940 0.4940 0.4940
Cd: 0.7532 0.7532 0.7532
Cl: 0.0258 0.0258 0.0258
Cl: 0.2270 0.2270 0.2270


Record 3
Here is a geometry-optimized CsLaTcSb structure from Alexandria. Energies are from PBE-GGA.

Properties
Energy relative to the lowest polymorph listed for this composition ... 0.000 eV/atom
Space group ... Cm (8)
Uncorrected formation energy ... -42 meV/atom

a = 9.7805 Å, b = 4.8746 Å, c = 7.3995 Å
α = 90.00°, β = 110.37°, γ = 90.00°
Fractional positions:
La: 0.5885 0.5000 0.7593
La: 0.5885 0.0000 0.2593
Sb: 0.8099 0.0000 0.9715
Sb: 0.8099 0.5000 0.4715
Cs: 0.1121 0.5000 0.9500
Cs: 0.1121 0.0000 0.4500
Tc: 0.7539 0.5000 0.0890
Tc: 0.7539 0.0000 0.5890


Record 4
Here is a geometry-optimized Tb7Er4Th structure from Alexandria. Energies are from PBE-GGA.

Properties
Energy of formation ... 0.31 eV per atom
Space group ... C2/m (12)

a = 5.9120 Å, b = 11.4740 Å, c = 6.7018 Å
α = 83.50°, β = 63.83°, γ = 75.07°
Fractional positions:
Th: 0.0000 0.0000 0.0000
Tb: 0.3673 0.5022 0.7631
Tb: 0.2136 0.0778 0.4950
Tb: 0.0591 0.6753 0.2065
Tb: 0.7864 0.9222 0.5050
Tb: 0.5000 0.0000 0.0000
Tb: 0.9409 0.3247 0.7935
Tb: 0.6327 0.4978 0.2369
Er: 0.7501 0.6831 0.8166
Er: 0.3636 0.7755 0.4972
Er: 0.6364 0.2245 0.5028
Er: 0.2499 0.3169 0.1834


Record 5
Here is a geometry-optimized V5Re2Mo2 structure from Alexandria. Energies are from PBE-GGA.

Properties
Energy of formation ... 0.12 eV per atom
Space group ... C2 (5)

a = 6.8771 Å, b = 6.8990 Å, c = 8.4209 Å
α = 128.32°, β = 114.10°, γ = 90.00°
Fractional positions:
V: 0.7319 0.0870 0.3812
V: 0.2122 0.4714 0.1818
V: 0.9933 0.5182 0.4724
V: 0.7627 0.1325 0.9322
V: 0.3235 0.8958 0.2540
V: 0.3507 0.9130 0.6188
V: 0.5209 0.4818 0.5276
V: 0.8305 0.8675 0.0678
V: 0.0305 0.5286 0.8182
V: 0.0695 0.1042 0.7460
Mo: 0.1818 0.2114 0.5180
Mo: 0.1209 0.0000 0.0000
Mo: 0.4691 0.5000 0.0000
Mo: 0.6638 0.7886 0.4820
Re: 0.9309 0.6894 0.2677
Re: 0.6632 0.3106 0.7323
Re: 0.5687 0.2567 0.1649
Re: 0.4038 0.7433 0.8351


Record 6
Here is a geometry-optimized CsTcSe2N structure from Alexandria. Energies are from PBE-GGA.

Properties
Energy relative to the lowest polymorph listed for this composition ... 2.625 eV/atom
Space group ... P4/mmm (123)
Uncorrected formation energy ... 2659 meV/atom

a = 5.6949 Å, b = 5.6949 Å, c = 4.2238 Å
α = 90.00°, β = 90.00°, γ = 90.00°
Each line ends with the local moment (μB).
Fractional positions:
Tc: 0.5000 0.5000 0.5000  0.10
Se: 0.0000 0.5000 0.0000  0.03
Se: 0.5000 0.0000 0.0000  0.03
N: 0.0000 0.0000 0.5000  0.07
Cs: 0.0000 0.0000 0.0000  0.04


Record 7
Here is a geometry-optimized KCaTiF6 structure from Alexandria. Energies are from PBE-GGA.

Properties
Space group ... Imma (74)
Uncorrected formation energy ... -3400 meV/atom

a = 7.5056 Å, b = 7.4478 Å, c = 7.3895 Å
α = 120.26°, β = 120.52°, γ = 90.00°
Each line ends with the local moment (μB).
Fractional positions:
K: 0.1440 0.3940 0.2880  0.00
K: 0.8560 0.6060 0.7120  0.00
F: 0.1823 0.8410 0.7424  0.00
F: 0.4399 0.1590 0.2576  0.00
F: 0.4399 0.5987 0.2576  0.00
F: 0.1351 0.8851 0.2701  0.00
F: 0.8177 0.5987 0.2576  0.00
F: 0.8649 0.1149 0.7299  0.00
F: 0.5798 0.8298 0.1596  0.00
F: 0.1823 0.4013 0.7424  0.00
F: 0.8177 0.1590 0.2576  0.00
F: 0.5601 0.8410 0.7424  0.00
F: 0.4202 0.1702 0.8404  0.00
F: 0.5601 0.4013 0.7424  0.00
Ca: 0.0000 0.0000 0.5000  0.00
Ca: 0.5000 0.0000 0.5000  0.00
Ti: 0.5000 0.0000 0.0000  0.90
Ti: 0.5000 0.5000 0.0000  0.90


Record 8
Here is a geometry-optimized FeReMo2 structure from Alexandria. Energies are from PBE-GGA.

Properties
Energy relative to the lowest polymorph listed for this composition ... 0.022 eV/atom
Energy of formation ... 0.11 eV per atom
Space group ... P4/mmm (123)

a = 4.3272 Å, b = 4.3272 Å, c = 3.1532 Å
α = 90.00°, β = 90.00°, γ = 90.00°
Each line ends with the local moment (μB).
Fractional positions:
Fe: 0.0000 0.5000 0.5000  2.28
Mo: 0.5000 0.5000 0.0000  0.10
Mo: 0.0000 0.0000 0.0000  0.10
Re: 0.5000 0.0000 0.5000  -0.01